No. 1
# YSc3Tl

A relaxed structure of YSc3Tl (PBE, Alexandria).

Output
- electronic total energy (eV/atom) = -5.5908
- total magnetization (μB/cell) = 0.00
- DFT formation energy (eV/f.u.) = -0.13
- relative energy among the computed polymorphs (meV/atom) = 50

Cell lengths 6.237, 9.300, 9.300 Å; angles 83.10, 79.24, 79.24 degrees
Atoms (fractional coordinates):
Y 0.538 0.534 0.677
Y 0.962 0.323 0.466
Y 0.462 0.466 0.323
Y 0.038 0.677 0.534
Sc 0.143 0.725 0.879
Sc 0.357 0.121 0.275
Sc 0.857 0.275 0.121
Sc 0.643 0.879 0.725
Sc 0.356 0.377 0.009
Sc 0.144 0.991 0.623
Sc 0.644 0.623 0.991
Sc 0.856 0.009 0.377
Sc 0.039 0.411 0.796
Sc 0.461 0.204 0.589
Sc 0.961 0.589 0.204
Sc 0.539 0.796 0.411
Tl 0.750 0.919 0.081
Tl 0.250 0.081 0.919
Tl 0.750 0.182 0.818
Tl 0.250 0.818 0.182

***

No. 2
# Y2ScTl

A relaxed structure of Y2ScTl (PBE, Alexandria).

Output
- electronic total energy (eV/atom) = -5.5003
- total magnetization (μB/cell) = 0.00
- DFT formation energy (eV/f.u.) = -0.38
- relative energy among the computed polymorphs (meV/atom) = 99

Cell lengths 10.989, 10.989, 10.989 Å; angles 18.39, 18.39, 18.39 degrees
Atoms (fractional coordinates):
Sc 0.250 0.250 0.250
Tl 0.750 0.750 0.750
Y 0.000 0.000 0.000
Y 0.500 0.500 0.500

***

No. 3
# Y2ScTl

A relaxed structure of Y2ScTl (PBE, Alexandria).

Output
- electronic total energy (eV/atom) = -5.5657
- total magnetization (μB/cell) = 0.00
- DFT formation energy (eV/f.u.) = -0.64
- relative energy among the computed polymorphs (meV/atom) = 34

Cell lengths 5.965, 5.965, 4.656 Å; angles 67.03, 67.03, 45.98 degrees
Atoms (fractional coordinates):
Y 0.000 0.000 0.000
Y 0.500 0.500 0.500
Sc 0.750 0.750 0.750
Tl 0.250 0.250 0.250

***

Q: Which formula does entry 3 have?
A: Y2ScTl

***

Q: Which of these has the highest electronic total energy?
A: number 2